(1)
ZrMnSbSe2: relaxed, GGA-PBE.

crystal system = tetragonal
space-group type = P4/mmm, No. 123
energy = -24.32 eV/f.u.

```
ZrMnSbSe2
1.0
5.345 0.000 0.000
0.000 5.517 0.000
0.000 0.000 5.345
Sb Mn Se Zr
1 1 2 1
Direct
0.000 0.000 0.000
0.500 0.500 0.500
0.000 0.000 0.500
0.500 0.000 0.000
0.000 0.500 0.000
```



(2)
MgAl2Ge2: relaxed, GGA-PBE.

crystal system = tetragonal
space-group type = I4/mmm, No. 139
E_form = 50.7 meV/atom

```
MgAl2Ge2
1.0
4.030 0.000 0.000
0.000 4.030 0.000
2.015 2.015 6.102
Mg Ge Al
1 2 2
Direct
0.000 0.000 0.000
0.390 0.390 0.221
0.610 0.610 0.779
0.750 0.250 0.500
0.250 0.750 0.500
```



(3)
CeGe3Pd2: relaxed, GGA-PBE.

crystal system = orthorhombic
space-group type = Cmcm, No. 63
E_form = -512.7 meV/atom

```
CeGe3Pd2
1.0
-3.898 -4.289 -1.692
3.262 -4.308 3.406
-4.089 1.938 4.508
Ce Ge Pd
2 6 4
Direct
0.750 0.306 0.694
0.250 0.694 0.306
0.250 0.144 0.856
0.250 0.525 0.774
0.750 0.774 0.525
0.250 0.226 0.475
0.750 0.475 0.226
0.750 0.856 0.144
0.000 0.827 0.827
0.500 0.827 0.827
0.000 0.173 0.173
0.500 0.173 0.173
```



(4)
HfInNi5: relaxed, GGA-PBE.

crystal system = orthorhombic
space-group type = Pnma, No. 62
E_form = -271.9 meV/atom

```
HfInNi5
1.0
-3.617 1.345 2.723
-4.939 -4.225 -4.473
1.509 -8.142 6.025
Hf In Ni
4 4 20
Direct
0.250 0.257 0.932
0.750 0.243 0.432
0.250 0.757 0.568
0.750 0.743 0.068
0.250 0.861 0.864
0.750 0.639 0.364
0.250 0.361 0.636
0.750 0.139 0.136
0.250 0.581 0.015
0.750 0.919 0.515
0.250 0.081 0.485
0.750 0.419 0.985
0.750 0.306 0.767
0.250 0.194 0.267
0.750 0.806 0.733
0.250 0.694 0.233
0.250 0.962 0.098
0.750 0.538 0.598
0.250 0.462 0.402
0.750 0.038 0.902
0.998 0.435 0.191
0.002 0.065 0.691
0.502 0.935 0.309
0.498 0.565 0.809
0.002 0.565 0.809
0.998 0.935 0.309
0.498 0.065 0.691
0.502 0.435 0.191
```



(5)
NaTlGe: relaxed, GGA-PBE.

crystal system = triclinic
space-group type = P1, No. 1
E_form = 4.9 meV/atom

```
NaTlGe
1.0
-2.813 0.380 5.422
-3.650 -1.454 -0.330
2.323 -6.439 2.897
Na Tl Ge
2 2 2
Direct
0.781 0.360 0.288
0.248 0.124 0.589
0.397 0.049 0.085
0.990 0.752 0.944
0.606 0.451 0.781
0.802 0.850 0.597
```



(6)
Mn2PtSe: relaxed, GGA-PBE.

crystal system = monoclinic
space-group type = C2/m, No. 12
energy = -28.24 eV/f.u.

```
Mn2PtSe
1.0
3.463 -0.067 0.034
1.766 2.980 0.034
1.715 0.955 6.643
Mn Pt Se
2 1 1
Direct
0.000 0.000 0.999
0.500 0.500 0.501
0.750 0.750 0.750
0.250 0.250 0.250
```



(7)
Pm5In4Au: relaxed, GGA-PBE.

crystal system = tetragonal
space-group type = P4/mmm, No. 123
E_form = -552.5 meV/atom

```
Pm5In4Au
1.0
-0.837 2.635 2.410
-2.571 -2.163 1.471
13.992 -7.643 13.216
Pm In Au
5 4 1
Direct
0.500 0.500 0.090
0.500 0.500 0.295
0.500 0.500 0.500
0.500 0.500 0.705
0.500 0.500 0.910
0.000 0.000 0.192
0.000 0.000 0.398
0.000 0.000 0.602
0.000 0.000 0.808
0.000 0.000 0.000
```



(8)
CeCrCuC: relaxed, GGA-PBE.

crystal system = tetragonal
space-group type = P4/nmm, No. 129
E_form = -79.6 meV/atom

```
CeCrCuC
1.0
-0.646 -1.993 -2.605
1.965 -2.361 1.319
-8.258 -4.015 5.119
Ce Cr Cu C
2 2 2 2
Direct
0.750 0.750 0.249
0.250 0.250 0.751
0.750 0.250 0.000
0.250 0.750 0.000
0.250 0.750 0.500
0.750 0.250 0.500
0.750 0.750 0.878
0.250 0.250 0.122
```



(9)
Na3B2PO5F4: relaxed, GGA-PBE.

crystal system = monoclinic
space-group type = P2_1/c, No. 14
energy = -93.66 eV/f.u.

```
Na3B2PO5F4
1.0
6.604 -0.004 0.000
-1.895 8.781 0.000
0.000 0.000 12.332
Na B P O F
12 8 4 20 16
Direct
0.887 0.590 0.729
0.387 0.090 0.771
0.113 0.410 0.271
0.613 0.910 0.229
0.832 0.661 0.417
0.332 0.161 0.083
0.168 0.339 0.583
0.668 0.839 0.917
0.712 0.542 0.140
0.212 0.042 0.360
0.288 0.458 0.860
0.788 0.958 0.640
0.800 0.130 0.434
0.300 0.630 0.066
0.200 0.870 0.566
0.700 0.370 0.934
0.645 0.302 0.552
0.145 0.802 0.948
0.355 0.698 0.448
0.855 0.198 0.052
0.586 0.309 0.337
0.086 0.809 0.163
0.414 0.691 0.663
0.914 0.191 0.837
0.664 0.151 0.344
0.164 0.651 0.156
0.336 0.849 0.656
0.836 0.349 0.844
0.516 0.330 0.460
0.016 0.830 0.040
0.484 0.670 0.540
0.984 0.170 0.960
0.739 0.173 0.538
0.239 0.673 0.962
0.261 0.827 0.462
0.761 0.327 0.038
0.764 0.439 0.306
0.264 0.939 0.194
0.236 0.561 0.694
0.736 0.061 0.806
0.397 0.283 0.265
0.897 0.783 0.235
0.603 0.717 0.735
0.103 0.217 0.765
0.806 0.439 0.571
0.306 0.939 0.929
0.194 0.561 0.429
0.694 0.061 0.071
0.513 0.285 0.645
0.013 0.785 0.855
0.487 0.715 0.355
0.987 0.215 0.145
0.013 0.216 0.410
0.513 0.716 0.090
0.987 0.784 0.590
0.487 0.284 0.910
0.816 0.973 0.434
0.316 0.473 0.066
0.184 0.027 0.566
0.684 0.527 0.934
```



(10)
Ac6NiRu2: relaxed, GGA-PBE.

crystal system = monoclinic
space-group type = C2/m, No. 12
E_form = -197.3 meV/atom
distance to the lowest polymorph of the same formula = 0 meV/atom

```
Ac6NiRu2
1.0
-4.094 -0.029 1.466
0.640 -8.115 1.624
4.873 3.427 7.228
Ac Ni Ru
6 1 2
Direct
0.335 0.910 0.670
0.005 0.243 0.009
0.669 0.571 0.339
0.995 0.757 0.991
0.665 0.090 0.330
0.331 0.429 0.661
0.500 0.000 0.000
0.837 0.677 0.673
0.163 0.323 0.327
```



(11)
Hf2BeCoH: relaxed, GGA-PBE.

crystal system = tetragonal
space-group type = P4/mmm, No. 123
energy = -35.17 eV/f.u.

```
Hf2BeCoH
1.0
-3.304 2.453 -1.518
-1.690 -3.516 -2.005
-1.791 -0.709 2.752
Co Hf H Be
1 2 1 1
Direct
0.000 0.000 0.500
0.000 0.500 0.000
0.500 0.000 0.000
0.000 0.000 0.000
0.500 0.500 0.500
```



(12)
FeSbTe2: relaxed, GGA-PBE.

crystal system = orthorhombic
space-group type = Cmmm, No. 65
energy = -18.46 eV/f.u.

```
FeSbTe2
1.0
-3.256 -1.380 -1.501
-0.140 -3.931 3.918
-2.498 0.535 4.929
Fe Sb Te
1 1 2
Direct
0.500 0.250 0.250
0.500 0.750 0.750
0.000 0.078 0.078
0.000 0.422 0.422
```



no.,mass density (g/cm3)
1,4.49
2,3.75
3,7.79
4,10.21
5,5.96
6,9.23
7,8.23
8,7.57
9,2.58
10,8.32
11,10.94
12,7.38